# ScCr2H2, relaxed, DFT PBE-GGA
data_ScCr2H2
_symmetry_space_group_name_H-M 'P 4/m b m'
_symmetry_Int_Tables_number 127
_symmetry_space_group_name_Hall '-P 4 2ab'
_cell_length_a 5.901
_cell_length_b 5.901
_cell_length_c 2.979
_cell_angle_alpha 90.00
_cell_angle_beta 90.00
_cell_angle_gamma 90.00
loop_
_atom_site_label
_atom_site_fract_x
_atom_site_fract_y
_atom_site_fract_z
Sc1 0.000 0.000 0.000
Cr1 0.119 0.381 0.500
H1 0.118 0.618 0.000
# Volume (Å³/atom): 10.373
# Spin magnetization (μB/cell): 2.51
# Polymorph energy (0 for the lowest one) (eV per atom): 0.342

=====

# Sc2CrH4, relaxed, DFT PBE-GGA
data_Sc2CrH4
_symmetry_space_group_name_H-M 'I 4/m m m'
_symmetry_Int_Tables_number 139
_symmetry_space_group_name_Hall '-I 4 2'
_cell_length_a 3.401
_cell_length_b 3.401
_cell_length_c 10.855
_cell_angle_alpha 90.00
_cell_angle_beta 90.00
_cell_angle_gamma 90.00
loop_
_atom_site_label
_atom_site_fract_x
_atom_site_fract_y
_atom_site_fract_z
Sc1 0.000 0.000 0.150
Cr1 0.000 0.000 0.500
H1 0.000 0.000 0.339
H2 0.000 0.500 0.000
# Volume (Å³/atom): 8.969
# Spin magnetization (μB/cell): 0.00

=====

The evaluated raw total energy for the records listed, in turn: -5.973 -5.390 eV per atom.